# Ti3HgH

An optimized crystal structure of Ti3HgH (PBE, Alexandria via LeMat-Bulk).

Calculated values
Its spin magnetization is 0.00 μB per formula unit. The total energy comes out at -5.6148 eV per atom. For the energy above the most stable polymorph in this dataset, the calculation gives 0.0732 eV per atom.

Cell lengths 5.254, 5.042, 5.735 Å; angles 106.00, 90.78, 94.63 degrees
Fractional positions:
Ti 0.603 0.957 0.027
Ti 0.352 0.399 0.647
Ti 0.616 0.941 0.522
Ti 0.842 0.422 0.887
Ti 0.829 0.438 0.392
Ti 0.092 0.980 0.268
Hg 0.332 0.465 0.159
Hg 0.113 0.914 0.756
H 0.651 0.648 0.709
H 0.794 0.731 0.206